Material: TlAg6Se4
Method: DFT, GGA-PBE
State: optimized geometry

The structure in POSCAR format:
```
TlAg6Se4
1.0
6.361 -0.533 -3.283
-3.876 6.013 -0.583
-0.343 0.533 7.150
Se Ag Tl
4 6 1
Cartesian
-2.369 3.675 0.702
-0.775 1.202 4.191
1.795 2.338 0.837
-0.730 5.344 4.120
1.242 2.740 -1.933
-2.197 3.408 5.399
-0.221 3.138 2.325
3.009 0.000 1.933
3.594 0.964 -0.958
-3.255 5.049 3.084
0.000 0.000 0.000
```

Values from the calculation:
electronic total energy = -3.10 eV/atom
symmetry = I-42m (121)
formation energy from raw total energies = -60 meV/atom